Below is crystalline Co2HgRu at its relaxed geometry, with properties calculated at the PBE-GGA level.

The space group is Pmmm (No. 47) and the conventional cell measures 2.7664, 3.5829 and 5.7642 Å, with angles of 90.00, 90.00 and 90.00 degrees. The distinct sites, in fractional coordinates, are Co at (0.0000, 0.0000, 0.2083), Hg at (0.5000, 0.5000, 0.5000) and Ru at (0.5000, 0.5000, 0.0000).

The calculation puts the volume at 14.28 Å³/atom. The calculation puts the magnetization at 3.3 μB per formula unit. The value obtained for the energy is -22.2 eV for the cell shown. The formation energy comes out at 37.7 kJ/mol of atoms.

***

Below is crystalline CaReP2Ru at its relaxed geometry, with properties calculated at the PBE-GGA level.

The space group is I-4m2 (No. 119) and the conventional cell measures 4.1396, 4.1396 and 9.7297 Å, with angles of 90.00, 90.00 and 90.00 degrees. The distinct sites, in fractional coordinates, are Ca at (0.0000, 0.0000, 0.0000), Re at (0.0000, 0.5000, 0.2500), P at (0.0000, 0.0000, 0.3660) and Ru at (0.0000, 0.5000, 0.7500).

The calculation puts the volume at 16.67 Å³/atom. The calculation puts the magnetization at 0.0 μB per formula unit. The value obtained for the energy is -76.2 eV for the cell shown. The formation energy comes out at -68.4 kJ/mol of atoms.